Entry from Alexandria via LeMat-Bulk: La2CoHPt after structural relaxation (PBE).

## Properties
**Magnetization**: 0.0 μB/f.u.
**Calculated density**: 9.4 g/cm3
**DFT total energy**: -5.82 eV per atom
**DOS at the Fermi energy**: 0.76 states/eV per atom

```
data_La2CoHPt
_space_group_name_H-M_alt 'P 4/m m m'
_space_group_IT_number 123
_space_group_name_Hall '-P 4 2'
_cell_length_a 5.1563
_cell_length_b 5.1563
_cell_length_c 3.5553
_cell_angle_alpha 90.00
_cell_angle_beta 90.00
_cell_angle_gamma 90.00
loop_
_atom_site_label
_atom_site_type_symbol
_atom_site_fract_x
_atom_site_fract_y
_atom_site_fract_z
_atom_site_occupancy
La1 La 0.0000 0.5000 0.0000 1
Co1 Co 0.0000 0.0000 0.5000 1
H1 H 0.0000 0.0000 0.0000 1
Pt1 Pt 0.5000 0.5000 0.5000 1
```

Entry from Alexandria via LeMat-Bulk: LaCoH6Rh after structural relaxation (PBE).

## Properties
**Magnetization**: 1.5 μB/f.u.
**Calculated density**: 6.3 g/cm3
**DFT total energy**: -4.74 eV per atom
**DOS at the Fermi energy**: 0.37 states/eV per atom

```
data_LaCoH6Rh
_space_group_name_H-M_alt 'P -6 m 2'
_space_group_IT_number 187
_space_group_name_Hall 'P -6 2'
_cell_length_a 4.6323
_cell_length_b 4.6323
_cell_length_c 4.3305
_cell_angle_alpha 90.00
_cell_angle_beta 90.00
_cell_angle_gamma 120.00
loop_
_atom_site_label
_atom_site_type_symbol
_atom_site_fract_x
_atom_site_fract_y
_atom_site_fract_z
_atom_site_occupancy
La1 La 0.0000 0.0000 0.0000 1
Co1 Co 0.6667 0.3333 0.5000 1
H1 H 0.5084 0.0167 0.2513 1
Rh1 Rh 0.3333 0.6667 0.5000 1
```

Entry from Alexandria via LeMat-Bulk: LaCoH6Ru after structural relaxation (PBE).

## Properties
**Magnetization**: 2.2 μB/f.u.
**Calculated density**: 6.2 g/cm3
**DFT total energy**: -4.89 eV per atom
**DOS at the Fermi energy**: 0.37 states/eV per atom

```
data_LaCoH6Ru
_space_group_name_H-M_alt 'P -6 m 2'
_space_group_IT_number 187
_space_group_name_Hall 'P -6 2'
_cell_length_a 4.6244
_cell_length_b 4.6244
_cell_length_c 4.4050
_cell_angle_alpha 90.00
_cell_angle_beta 90.00
_cell_angle_gamma 120.00
loop_
_atom_site_label
_atom_site_type_symbol
_atom_site_fract_x
_atom_site_fract_y
_atom_site_fract_z
_atom_site_occupancy
La1 La 0.0000 0.0000 0.0000 1
Co1 Co 0.3333 0.6667 0.5000 1
H1 H 0.0073 0.5036 0.2518 1
Ru1 Ru 0.6667 0.3333 0.5000 1
```

Q: What is the calculated density in the second record?
A: 6.3 g/cm3

Copy entry 3 word for word.
Entry from Alexandria via LeMat-Bulk: LaCoH6Ru after structural relaxation (PBE).

## Properties
**Magnetization**: 2.2 μB/f.u.
**Calculated density**: 6.2 g/cm3
**DFT total energy**: -4.89 eV per atom
**DOS at the Fermi energy**: 0.37 states/eV per atom

```
data_LaCoH6Ru
_space_group_name_H-M_alt 'P -6 m 2'
_space_group_IT_number 187
_space_group_name_Hall 'P -6 2'
_cell_length_a 4.6244
_cell_length_b 4.6244
_cell_length_c 4.4050
_cell_angle_alpha 90.00
_cell_angle_beta 90.00
_cell_angle_gamma 120.00
loop_
_atom_site_label
_atom_site_type_symbol
_atom_site_fract_x
_atom_site_fract_y
_atom_site_fract_z
_atom_site_occupancy
La1 La 0.0000 0.0000 0.0000 1
Co1 Co 0.3333 0.6667 0.5000 1
H1 H 0.0073 0.5036 0.2518 1
Ru1 Ru 0.6667 0.3333 0.5000 1
```

Q: calculated density of number 2 (LaCoH6Rh)?
A: 6.3 g/cm3

Q: DOS at the Fermi energy of number 1 (La2CoHPt)?
A: 0.76 states/eV per atom